# 1
Computed, not measured: crystalline TiNi2Bi2 at its relaxed geometry at the PBE-GGA level of DFT.

density of states at the Fermi level = 5.983 states/eV/cell
distance to the lowest polymorph of the same formula = 0.89 eV per formula unit
energy of formation from the pure elements = 1.18 eV per formula unit
symmetry = I4/mmm (139)

Geometry as POSCAR:
```
TiNi2Bi2
1.0
3.5184 0.0000 0.0000
0.0000 3.5184 0.0000
1.7592 1.7592 7.8582
Ni Bi Ti
2 2 1
Direct
0.7500 0.2500 0.5000
0.2500 0.7500 0.5000
0.3831 0.3831 0.2339
0.6169 0.6169 0.7661
0.0000 0.0000 0.0000
```

=====

# 2
Computed, not measured: crystalline Hf4Cu2Sn at its relaxed geometry at the PBE-GGA level of DFT.

density of states at the Fermi level = 8.575 states/eV/cell
energy of formation from the pure elements = 1.16 eV per formula unit
symmetry = R-3m (166)

Geometry as POSCAR:
```
Hf4Cu2Sn
1.0
4.3193 0.0000 0.0000
2.1597 3.7407 0.0000
2.1597 1.2469 9.2443
Hf Cu Sn
4 2 1
Direct
0.6999 0.6999 0.9003
0.8909 0.8909 0.3273
0.3001 0.3001 0.0997
0.1091 0.1091 0.6727
0.6012 0.6012 0.1963
0.3988 0.3988 0.8037
0.5000 0.5000 0.5000
```

=====

# 3
Computed, not measured: crystalline Rb2CdI at its relaxed geometry at the PBE-GGA level of DFT.

density of states at the Fermi level = 3.890 states/eV/cell
distance to the lowest polymorph of the same formula = 0.50 eV per formula unit
symmetry = I-42d (122)

Geometry as POSCAR:
```
Rb2CdI
1.0
-5.9605 7.5877 -2.4785
-6.4862 -6.4068 -4.0157
-8.4170 0.2185 0.8896
I Rb Cd
2 4 2
Direct
0.0000 0.0000 0.0000
0.7500 0.2500 0.5000
0.6446 0.1250 0.2500
0.1054 0.6250 0.2500
0.3750 0.3554 0.7500
0.8750 0.8946 0.7500
0.5000 0.5000 0.0000
0.2500 0.7500 0.5000
```

=====

# 4
Computed, not measured: crystalline NdEr2WN4 at its relaxed geometry at the PBE-GGA level of DFT.

density of states at the Fermi level = 4.379 states/eV/cell
DFT total energy = -8.66 eV per atom
symmetry = Cmcm (63)

Geometry as POSCAR:
```
NdEr2WN4
1.0
3.4029 0.0000 0.0000
-1.7015 5.9124 0.0000
0.0000 0.0000 11.8706
Nd Er W N
2 4 2 8
Direct
0.0926 0.1852 0.7500
0.9074 0.8148 0.2500
0.3706 0.7412 0.5377
0.6294 0.2588 0.0377
0.6294 0.2588 0.4623
0.3706 0.7412 0.9623
0.8339 0.6677 0.7500
0.1661 0.3323 0.2500
0.2618 0.5237 0.1197
0.7382 0.4763 0.6197
0.7382 0.4763 0.8803
0.2618 0.5237 0.3803
0.0000 0.0000 0.5000
0.0000 0.0000 0.0000
0.4346 0.8691 0.7500
0.5654 0.1309 0.2500
```